VASP calculation (PBE-GGA) on CaPm2Au6 after structural relaxation.

Cell lengths 8.2330, 8.2330, 3.5589 Å; angles 90.00, 90.00, 120.00 degrees
Closest atoms and distances in Å follow each position.
Space group P6/mmm (No. 191)
Asymmetric unit:
Ca1 0.0000 0.0000 0.0000 [1 per cell]  12 Au 3.27, 2 Ca 3.56
Pm1 0.3333 0.6667 0.0000 [2 per cell]  12 Au 3.27, 2 Pm 3.56
Au1 0.0000 0.3328 0.5000 [6 per cell]  3 Au 2.74-2.75

Output
Excess energy over the best structure of this formula in the dataset = 0.0 meV per atom
V = 23.2 Å³/atom
Energy relative to the elements = -0.735 eV/atom
ρ = 12.0 g/cm³
M_tot = 0.0 μB/f.u.
DFT total energy = -4.198 eV per atom

VASP calculation (PBE-GGA) on BaUCuO6 after structural relaxation.

Cell lengths 5.2616, 5.2616, 10.0085 Å; angles 90.00, 90.00, 90.00 degrees
Closest atoms and distances in Å follow each position.
Space group P4_2nm (No. 102)
Asymmetric unit:
Ba1 0.0000 0.0000 0.0000 [2 per cell]  4 O 2.56-2.57
U1 0.0000 0.0000 0.6600 [2 per cell]  6 O 2.00-2.16
Cu1 0.0000 0.0000 0.3236 [2 per cell]  6 O 1.95-2.14
O1 0.1575 0.1575 0.4788 [4 per cell]  1 Cu 1.95, 1 U 2.16
O2 0.2273 0.2273 0.1927 [4 per cell]  1 U 2.06, 1 Cu 2.14
O3 0.2293 0.2293 0.7644 [4 per cell]  1 U 2.00, 1 Cu 2.10

Output
V = 15.4 Å³/atom
ρ = 6.4 g/cm³
Formation energy without anion corrections = -1.887 eV per atom
M_tot = 0.8 μB/f.u.
DFT total energy = -7.115 eV per atom

VASP calculation (PBE-GGA) on ScTa2Cd after structural relaxation.

Cell lengths 2.9260, 4.6886, 5.8064 Å; angles 90.00, 90.00, 90.00 degrees
Closest atoms and distances in Å follow each position.
Space group Pmmm (No. 47)
Asymmetric unit:
Sc1 0.0000 0.0000 0.0000 [1 per cell]  2 Cd 2.90, 2 Sc 2.93, 8 Ta 3.09
Ta1 0.5000 0.5000 0.2381 [2 per cell]  4 Ta 2.76-3.04, 4 Sc 3.09
Cd1 0.0000 0.0000 0.5000 [1 per cell]  2 Sc 2.90, 2 Cd 2.93, 8 Ta 3.15

Output
V = 19.9 Å³/atom
Energy relative to the elements = 0.257 eV/atom
ρ = 10.8 g/cm³
M_tot = 0.0 μB/f.u.
DFT total energy = -7.481 eV per atom